CuReRu2: relaxed, PBE-GGA.

Lattice parameters (Å, degrees): 2.7033 2.7033 7.5555 90.00 90.00 90.00
Closest atoms and distances in Å follow each position.
Sites, in units of the cell vectors:
Cu: 0.0000 0.0000 0.0000  4 Ru 2.66, 4 Re 2.68, 4 Cu 2.70
Re: 0.5000 0.5000 0.2480  4 Cu 2.68, 4 Re 2.70, 4 Ru 2.74
Ru: 0.0000 0.0000 0.5083  8 Ru 2.67-2.70, 4 Re 2.74
Ru: 0.5000 0.5000 0.7548  4 Cu 2.66, 8 Ru 2.67-2.70

Output
- Total DFT energy (no corrections): -8.55 eV per atom
- Space-group type: P4mm (99)
- Calculated formation energy: 228 meV per atom
- Energy relative to the lowest polymorph listed for this composition: 102 meV per atom

Dy6YTm6: relaxed, PBE-GGA.

Lattice parameters (Å, degrees): 6.6115 6.6115 11.2455 90.00 90.00 120.00
Closest atoms and distances in Å follow each position.
Sites, in units of the cell vectors:
Dy: 0.0000 0.0000 0.1559  6 Tm 3.50, 1 Dy 3.51, 1 Y 3.87
Dy: 0.0000 0.0000 0.8441  6 Tm 3.50, 1 Dy 3.51, 1 Y 3.87
Dy: 0.3333 0.6667 0.0000  6 Tm 3.46, 3 Dy 3.82
Dy: 0.3333 0.6667 0.5000  6 Tm 3.33
Dy: 0.6667 0.3333 0.0000  6 Tm 3.46, 3 Dy 3.82
Dy: 0.6667 0.3333 0.5000  6 Tm 3.33
Y: 0.0000 0.0000 0.5000  8 Dy 3.82-3.87
Tm: 0.0000 0.5000 0.2568  4 Tm 3.31, 6 Dy 3.33-3.50
Tm: 0.0000 0.5000 0.7432  4 Tm 3.31, 6 Dy 3.33-3.50
Tm: 0.5000 0.0000 0.2568  4 Tm 3.31, 6 Dy 3.33-3.50
Tm: 0.5000 0.0000 0.7432  4 Tm 3.31, 6 Dy 3.33-3.50
Tm: 0.5000 0.5000 0.2568  4 Tm 3.31, 6 Dy 3.33-3.50
Tm: 0.5000 0.5000 0.7432  4 Tm 3.31, 6 Dy 3.33-3.50

Output
- Total DFT energy (no corrections): -4.41 eV per atom
- Space-group type: P6/mmm (191)
- Calculated formation energy: 273 meV per atom

LiHoCd4: relaxed, PBE-GGA.

Lattice parameters (Å, degrees): 5.8294 5.8294 5.8294 60.00 60.00 60.00
Closest atoms and distances in Å follow each position.
Sites, in units of the cell vectors:
Li: 0.0000 0.0000 0.0000  12 Cd 3.42, 4 Ho 3.57
Ho: 0.2500 0.2500 0.2500  12 Cd 3.42, 4 Li 3.57
Cd: 0.1245 0.6252 0.6252  6 Cd 2.91-2.92
Cd: 0.6252 0.1245 0.6252  6 Cd 2.91-2.92
Cd: 0.6252 0.6252 0.1245  6 Cd 2.91-2.92
Cd: 0.6252 0.6252 0.6252  6 Cd 2.91-2.92

Output
- Total DFT energy (no corrections): -1.84 eV per atom
- Space-group type: F-43m (216)
- Calculated formation energy: -149 meV per atom
- Energy relative to the lowest polymorph listed for this composition: 75 meV per atom

ScBiPd6: relaxed, PBE-GGA.

Lattice parameters (Å, degrees): 4.0603 4.0603 8.1950 90.00 90.00 90.00
Closest atoms and distances in Å follow each position.
Sites, in units of the cell vectors:
Sc: 0.0000 0.0000 0.0000  12 Pd 2.83-2.87
Bi: 0.0000 0.0000 0.5000  12 Pd 2.87-2.94
Pd: 0.0000 0.5000 0.2408  2 Sc 2.83, 8 Pd 2.83-2.94, 2 Bi 2.94
Pd: 0.0000 0.5000 0.7592  2 Sc 2.83, 8 Pd 2.83-2.94, 2 Bi 2.94
Pd: 0.5000 0.0000 0.2408  2 Sc 2.83, 8 Pd 2.83-2.94, 2 Bi 2.94
Pd: 0.5000 0.0000 0.7592  2 Sc 2.83, 8 Pd 2.83-2.94, 2 Bi 2.94
Pd: 0.5000 0.5000 0.0000  8 Pd 2.83, 4 Sc 2.87
Pd: 0.5000 0.5000 0.5000  4 Bi 2.87, 8 Pd 2.94

Output
- Total DFT energy (no corrections): -5.73 eV per atom
- Space-group type: P4/mmm (123)
- Calculated formation energy: -554 meV per atom
- Energy relative to the lowest polymorph listed for this composition: 0 meV per atom

DyCu5Sn: relaxed, PBE-GGA.

Lattice parameters (Å, degrees): 8.2430 5.0066 10.5903 90.00 90.00 90.00
Closest atoms and distances in Å follow each position.
Sites, in units of the cell vectors:
Dy: 0.2504 0.2500 0.0616  10 Cu 2.88-3.20
Dy: 0.2496 0.7500 0.5616  10 Cu 2.88-3.20
Dy: 0.7504 0.2500 0.4384  10 Cu 2.88-3.20
Dy: 0.7496 0.7500 0.9384  10 Cu 2.88-3.20
Cu: 0.0585 0.2500 0.6014  4 Cu 2.56-2.60, 1 Sn 2.64
Cu: 0.0683 0.5011 0.8123  7 Cu 2.49-2.56, 1 Sn 2.77
Cu: 0.0683 0.9989 0.8123  7 Cu 2.49-2.56, 1 Sn 2.77
Cu: 0.0841 0.7500 0.0168  5 Cu 2.50-2.54
Cu: 0.1841 0.7500 0.2422  7 Cu 2.50-2.60
Cu: 0.3159 0.2500 0.7422  7 Cu 2.50-2.60
Cu: 0.4159 0.2500 0.5168  5 Cu 2.50-2.54
Cu: 0.4317 0.0011 0.3123  7 Cu 2.49-2.56, 1 Sn 2.77
Cu: 0.4317 0.4989 0.3123  7 Cu 2.49-2.56, 1 Sn 2.77
Cu: 0.4415 0.7500 0.1014  4 Cu 2.56-2.60, 1 Sn 2.64
Cu: 0.5585 0.2500 0.8986  4 Cu 2.56-2.60, 1 Sn 2.64
Cu: 0.5683 0.5011 0.6877  7 Cu 2.49-2.56, 1 Sn 2.77
Cu: 0.5683 0.9989 0.6877  7 Cu 2.49-2.56, 1 Sn 2.77
Cu: 0.5841 0.7500 0.4832  5 Cu 2.50-2.54
Cu: 0.6841 0.7500 0.2578  7 Cu 2.50-2.60
Cu: 0.8159 0.2500 0.7578  7 Cu 2.50-2.60
Cu: 0.9159 0.2500 0.9832  5 Cu 2.50-2.54
Cu: 0.9317 0.0011 0.1877  7 Cu 2.49-2.56, 1 Sn 2.77
Cu: 0.9317 0.4989 0.1877  7 Cu 2.49-2.56, 1 Sn 2.77
Cu: 0.9415 0.7500 0.3986  4 Cu 2.56-2.60, 1 Sn 2.64
Sn: 0.1385 0.2500 0.3605  8 Cu 2.64-2.82
Sn: 0.3615 0.7500 0.8605  8 Cu 2.64-2.82
Sn: 0.6385 0.2500 0.1395  8 Cu 2.64-2.82
Sn: 0.8615 0.7500 0.6395  8 Cu 2.64-2.82

Output
- Total DFT energy (no corrections): -4.42 eV per atom
- Space-group type: Pnma (62)
- Calculated formation energy: -262 meV per atom

Sc2SbAs: relaxed, PBE-GGA.

Lattice parameters (Å, degrees): 5.9227 5.9227 5.9227 139.81 139.81 58.15
Closest atoms and distances in Å follow each position.
Sites, in units of the cell vectors:
Sc: 0.0000 0.0000 0.0000  4 Sb 2.88
Sc: 0.7500 0.2500 0.5000  4 As 2.88
Sb: 0.5000 0.5000 0.0000  4 Sc 2.88
As: 0.2500 0.7500 0.5000  4 Sc 2.88

Output
- Total DFT energy (no corrections): -6.16 eV per atom
- Space-group type: I-4m2 (119)
- E_form (uncorrected): -3.19 eV/f.u.

ZnInP2Cl: relaxed, PBE-GGA.

Lattice parameters (Å, degrees): 5.1270 5.1270 5.1722 90.00 90.00 90.00
Closest atoms and distances in Å follow each position.
Sites, in units of the cell vectors:
Zn: 0.0000 0.0000 0.0000  4 Cl 3.63, 8 P 3.64
In: 0.5000 0.5000 0.5000  4 P 2.56, 2 Cl 2.59
P: 0.0000 0.5000 0.5000  2 In 2.56
P: 0.5000 0.0000 0.5000  2 In 2.56
Cl: 0.5000 0.5000 0.0000  2 In 2.59

Output
- Total DFT energy (no corrections): -2.59 eV per atom
- Space-group type: P4/mmm (123)
- Energy relative to the lowest polymorph listed for this composition: 356 meV per atom
- E_form (uncorrected): 3.74 eV/f.u.

GaHRh2Au: relaxed, PBE-GGA.

Lattice parameters (Å, degrees): 4.0191 4.0191 3.9379 90.00 90.00 90.00
Closest atoms and distances in Å follow each position.
Sites, in units of the cell vectors:
Ga: 0.0000 0.0000 0.0000  8 Rh 2.81, 4 Au 2.84
H: 0.5000 0.5000 0.5000  2 Au 1.97, 4 Rh 2.01
Rh: 0.0000 0.5000 0.5000  2 H 2.01
Rh: 0.5000 0.0000 0.5000  2 H 2.01
Au: 0.5000 0.5000 0.0000  2 H 1.97

Output
- Total DFT energy (no corrections): -5.00 eV per atom
- Space-group type: P4/mmm (123)
- Energy relative to the lowest polymorph listed for this composition: 0 meV per atom

Fe3HgSe: relaxed, PBE-GGA.

Lattice parameters (Å, degrees): 4.8620 4.8620 4.8620 90.00 90.00 90.00
Closest atoms and distances in Å follow each position.
Sites, in units of the cell vectors:
Fe: 0.0000 0.0000 0.5000  2 Hg 2.43
Fe: 0.0000 0.5000 0.0000  2 Hg 2.43
Fe: 0.5000 0.0000 0.0000  2 Hg 2.43
Hg: 0.0000 0.0000 0.0000  6 Fe 2.43
Se: 0.5000 0.5000 0.5000  12 Fe 3.44

Output
- Total DFT energy (no corrections): -4.34 eV per atom
- Space-group type: Pm-3m (221)
- Energy relative to the lowest polymorph listed for this composition: 880 meV per atom
- E_form (uncorrected): 7.47 eV/f.u.

GaMo2: relaxed, PBE-GGA.

Lattice parameters (Å, degrees): 4.9415 4.9415 4.9415 141.37 141.37 55.79
Closest atoms and distances in Å follow each position.
Sites, in units of the cell vectors:
Ga: 0.0000 0.0000 0.0000  10 Mo 2.76-2.86
Mo: 0.3278 0.3278 0.0000  4 Mo 2.68, 5 Ga 2.76-2.86
Mo: 0.6722 0.6722 0.0000  4 Mo 2.68, 5 Ga 2.76-2.86

Output
- Total DFT energy (no corrections): -8.32 eV per atom
- Space-group type: I4/mmm (139)
- Calculated formation energy: -86 meV per atom
- Energy relative to the lowest polymorph listed for this composition: 0 meV per atom

YTh2N: relaxed, PBE-GGA.

Lattice parameters (Å, degrees): 9.9808 9.9808 9.9808 20.38 20.38 20.38
Closest atoms and distances in Å follow each position.
Sites, in units of the cell vectors:
Y: 0.0000 0.0000 0.0000  2 Th 3.41, 6 Y 3.53
Th: 0.1162 0.1162 0.1162  3 N 2.52
Th: 0.8838 0.8838 0.8838  3 N 2.52
N: 0.5000 0.5000 0.5000  6 Th 2.52

Output
- Total DFT energy (no corrections): -7.87 eV per atom
- Space-group type: R-3m (166)
- E_form (uncorrected): -1.83 eV/f.u.

NaYTi: relaxed, PBE-GGA.

Lattice parameters (Å, degrees): 3.2602 5.2083 9.8267 90.00 90.15 90.00
Closest atoms and distances in Å follow each position.
Sites, in units of the cell vectors:
Na: 0.0000 0.0000 0.0000  6 Na 3.26-3.47, 2 Y 3.50-3.51, 2 Ti 3.58
Na: 0.4957 0.5000 0.1626  6 Na 3.26-3.47, 1 Ti 3.49
Y: 0.4954 0.0000 0.6843  6 Ti 3.08-3.14, 4 Y 3.26-3.41
Y: 0.9929 0.0000 0.3797  4 Y 3.26-3.41, 4 Ti 3.36
Ti: 0.4942 0.5000 0.5178  2 Ti 2.81, 2 Y 3.08
Ti: 0.9961 0.5000 0.7505  2 Ti 2.81, 4 Y 3.14

Output
- Total DFT energy (no corrections): -4.87 eV per atom
- Space-group type: Pm (6)
- Calculated formation energy: 353 meV per atom
- Energy relative to the lowest polymorph listed for this composition: 245 meV per atom

YIn2Co: relaxed, PBE-GGA.

Lattice parameters (Å, degrees): 5.8218 5.8218 5.8218 44.62 44.62 44.62
Closest atoms and distances in Å follow each position.
Sites, in units of the cell vectors:
Y: 0.0000 0.0000 0.0000  8 In 3.12-3.43
In: 0.2184 0.2184 0.2184  3 Co 2.68
In: 0.7816 0.7816 0.7816  3 Co 2.68
Co: 0.5000 0.5000 0.5000  6 In 2.68

Output
- Total DFT energy (no corrections): -4.88 eV per atom
- Space-group type: R-3m (166)
- Calculated formation energy: -117 meV per atom

Na2TaBi2S6: relaxed, PBE-GGA.

Lattice parameters (Å, degrees): 6.8313 6.8313 7.0922 99.80 99.80 118.43
Closest atoms and distances in Å follow each position.
Sites, in units of the cell vectors:
Na: 0.1715 0.8285 0.0000  6 S 2.89-3.08
Na: 0.8285 0.1715 0.0000  6 S 2.89-3.08
Ta: 0.0000 0.0000 0.5000  6 S 2.49-2.53
Bi: 0.3332 0.6668 0.5000  6 S 2.78-2.85
Bi: 0.6668 0.3332 0.5000  6 S 2.78-2.85
S: 0.0712 0.3756 0.7171  1 Ta 2.53, 1 Bi 2.78
S: 0.2167 0.2167 0.2842  1 Ta 2.49
S: 0.3756 0.0712 0.7171  1 Ta 2.53, 1 Bi 2.78
S: 0.6244 0.9288 0.2829  1 Ta 2.53, 1 Bi 2.78
S: 0.7833 0.7833 0.7158  1 Ta 2.49
S: 0.9288 0.6244 0.2829  1 Ta 2.53, 1 Bi 2.78

Output
- Total DFT energy (no corrections): -5.02 eV per atom
- Space-group type: C2/m (12)
- E_form (uncorrected): -8.17 eV/f.u.

NaCdAsS4: relaxed, PBE-GGA.

Lattice parameters (Å, degrees): 7.1214 7.1214 7.6834 90.00 90.00 114.57
Closest atoms and distances in Å follow each position.
Sites, in units of the cell vectors:
Na: 0.0000 0.0000 0.0000  6 S 2.89-2.92
Na: 0.0000 0.0000 0.5000  6 S 2.89-2.92
Cd: 0.3623 0.6377 0.7500  4 S 2.56-2.61
Cd: 0.6377 0.3623 0.2500  4 S 2.56-2.61
As: 0.3563 0.6437 0.2500  4 S 2.19-2.21
As: 0.6437 0.3563 0.7500  4 S 2.19-2.21
S: 0.2433 0.7567 0.0263  1 As 2.19
S: 0.2433 0.7567 0.4737  1 As 2.19
S: 0.2508 0.3041 0.2500  1 As 2.21
S: 0.3041 0.2508 0.7500  1 As 2.21
S: 0.6959 0.7492 0.2500  1 As 2.21
S: 0.7492 0.6959 0.7500  1 As 2.21
S: 0.7567 0.2433 0.5263  1 As 2.19
S: 0.7567 0.2433 0.9737  1 As 2.19

Output
- Total DFT energy (no corrections): -3.76 eV per atom
- Space-group type: Cmcm (63)
- E_form (uncorrected): -2.93 eV/f.u.

DyGa2Os: relaxed, PBE-GGA.

Lattice parameters (Å, degrees): 9.0034 9.0034 9.0034 20.08 20.08 20.08
Closest atoms and distances in Å follow each position.
Sites, in units of the cell vectors:
Dy: 0.0000 0.0000 0.0000  6 Ga 3.13, 6 Dy 3.14
Ga: 0.2371 0.2371 0.2371  3 Os 2.60
Ga: 0.7629 0.7629 0.7629  3 Os 2.60
Os: 0.5000 0.5000 0.5000  6 Ga 2.60

Output
- Total DFT energy (no corrections): -5.43 eV per atom
- Space-group type: R-3m (166)
- Calculated formation energy: 46 meV per atom

HgTeAs2: relaxed, PBE-GGA.

Lattice parameters (Å, degrees): 2.8893 3.7534 9.7998 90.00 90.28 90.00
Closest atoms and distances in Å follow each position.
Sites, in units of the cell vectors:
Hg: 0.0000 0.0000 0.0000  2 Hg 2.89
Te: 0.0011 0.5000 0.7212  2 Te 2.89
As: 0.9875 0.5000 0.2716  2 As 2.53
As: 0.9904 0.0000 0.4444  2 As 2.53

Output
- Total DFT energy (no corrections): -3.10 eV per atom
- Space-group type: Pm (6)
- Energy relative to the lowest polymorph listed for this composition: 0 meV per atom
- E_form (uncorrected): 0.35 eV/f.u.

AlInH: relaxed, PBE-GGA.

Lattice parameters (Å, degrees): 3.1321 5.6459 6.3113 64.27 78.46 75.47
Closest atoms and distances in Å follow each position.
Sites, in units of the cell vectors:
Al: 0.1926 0.3883 0.2231  3 H 1.83-1.95
Al: 0.8074 0.6117 0.7769  3 H 1.83-1.95
In: 0.4465 0.8259 0.2998  5 Al 2.92-3.19, 4 H 2.98-3.24, 2 In 3.13
In: 0.5535 0.1741 0.7002  5 Al 2.92-3.19, 4 H 2.98-3.24, 2 In 3.13
H: 0.2067 0.6652 0.9300  3 Al 1.83-1.95
H: 0.7933 0.3348 0.0700  3 Al 1.83-1.95

Output
- Total DFT energy (no corrections): -3.08 eV per atom
- Space-group type: P-1 (2)

OsW2Au: relaxed, PBE-GGA.

Lattice parameters (Å, degrees): 4.8775 4.8775 2.8377 90.00 90.00 110.44
Closest atoms and distances in Å follow each position.
Sites, in units of the cell vectors:
Os: 0.0000 0.0000 0.0000  2 Au 2.78, 8 W 2.82, 2 Os 2.84
W: 0.0000 0.5000 0.5000  4 W 2.78-2.84, 4 Os 2.82, 4 Au 2.82
W: 0.5000 0.0000 0.5000  4 W 2.78-2.84, 4 Os 2.82, 4 Au 2.82
Au: 0.5000 0.5000 0.0000  2 Os 2.78, 8 W 2.82, 2 Au 2.84

Output
- Total DFT energy (no corrections): -9.84 eV per atom
- Space-group type: Cmmm (65)
- Calculated formation energy: 266 meV per atom
- Energy relative to the lowest polymorph listed for this composition: 60 meV per atom

CuNi: relaxed, PBE-GGA.

Lattice parameters (Å, degrees): 5.5686 5.5686 5.5686 95.68 95.68 143.32
Closest atoms and distances in Å follow each position.
Sites, in units of the cell vectors:
Cu: 0.1640 0.1640 0.3280  4 Cu 2.45-2.53, 6 Ni 2.49-2.51
Cu: 0.1640 0.8360 0.0000  4 Cu 2.45-2.53, 6 Ni 2.49-2.51
Cu: 0.8360 0.1640 0.0000  4 Cu 2.45-2.53, 6 Ni 2.49-2.51
Cu: 0.8360 0.8360 0.6720  4 Cu 2.45-2.53, 6 Ni 2.49-2.51
Ni: 0.1642 0.5000 0.6642  5 Ni 2.46-2.47, 6 Cu 2.49-2.51
Ni: 0.5000 0.1642 0.6642  5 Ni 2.46-2.47, 6 Cu 2.49-2.51
Ni: 0.5000 0.8358 0.3358  5 Ni 2.46-2.47, 6 Cu 2.49-2.51
Ni: 0.8358 0.5000 0.3358  5 Ni 2.46-2.47, 6 Cu 2.49-2.51

Output
- Total DFT energy (no corrections): -4.75 eV per atom
- Space-group type: I4/mmm (139)
- Calculated formation energy: 191 meV per atom